First-principles (PBE with a Hubbard U) data for a relaxed structure of CaSmCr2O8, as listed in Alexandria via LeMat-Bulk.

a = 6.085 Å, b = 6.085 Å, c = 6.085 Å
α = 105.92°, β = 105.92°, γ = 116.84°
Fractional positions:
1 Ca 0.000 0.000 0.000
2 Sm 0.250 0.750 0.500
3 Cr 0.500 0.500 0.000
4 Cr 0.750 0.250 0.500
5 O 0.333 0.147 0.814
6 O 0.333 0.519 0.186
7 O 0.410 0.088 0.322
8 O 0.481 0.667 0.814
9 O 0.766 0.088 0.678
10 O 0.853 0.667 0.186
11 O 0.912 0.234 0.322
12 O 0.912 0.590 0.678

* volume: 14.3 A^3/atom
* density of states at the Fermi level: 0.6 states/eV/f.u.
* E_tot: -7.2473 eV/atom